TaTlW: optimized geometry, PBE.

Unit cell a=10.814 b=3.282 c=7.253 alpha=90.00 beta=113.47 gamma=90.00
Sites, in units of the cell vectors:
Ta (0.000, 0.000, 0.000)
Ta (0.161, 0.500, 0.832)
Ta (0.500, 0.500, 0.000)
Ta (0.661, 0.000, 0.832)
Tl (0.016, 0.000, 0.450)
Tl (0.333, 0.000, 0.643)
Tl (0.516, 0.500, 0.450)
Tl (0.833, 0.500, 0.643)
W (0.177, 0.500, 0.262)
W (0.319, 0.000, 0.120)
W (0.677, 0.000, 0.262)
W (0.819, 0.500, 0.120)

Results
For the energy, the calculation gives -102.66 eV per cell. The magnetization is 0.00 μB/cell. For the distance to the lowest polymorph of the same formula, the calculation gives 0.135 eV/atom.